A relaxed Sr5CdAg2 crystal, computed with GGA-PBE.

The space group is I4/mcm (No. 140) and the conventional cell measures 8.627, 8.627 and 15.995 Å, with angles of 90.00, 90.00 and 90.00 degrees. The inequivalent atoms are Sr at (0.000, 0.000, 0.000), Sr at (0.168, 0.332, 0.142), Cd at (0.000, 0.000, 0.250) and Ag at (0.122, 0.378, 0.500).

The value obtained for the formation enthalpy at 0 K is -26.36 kJ/mol of atoms. The calculation puts the spin magnetization at 0.0 μB per formula unit. The crystal system is tetragonal.